No. 1
Be2ReSi (PBE, relaxed); mass density = 8.482 g/cm3; VASP energy = -6.140 eV per atom
1.0
0.0000 2.8332 2.8332
2.8332 0.0000 2.8332
2.8332 2.8332 0.0000
Be Re Si
2 1 1
Direct
0.0000 0.0000 0.0000
0.7500 0.7500 0.7500
0.2500 0.2500 0.2500
0.5000 0.5000 0.5000

=====

No. 2
TaBeReSi (PBE, relaxed); mass density = 12.092 g/cm3; VASP energy = -8.286 eV per atom
1.0
0.4332 -1.6488 3.9279
-3.4116 -0.3477 2.5642
-1.6230 -3.8606 0.8923
Be Re Si Ta
1 1 1 1
Direct
0.7500 0.7500 0.7500
0.5000 0.5000 0.5000
0.0000 0.0000 0.0000
0.2500 0.2500 0.2500

=====

No. 3
TaBeReSi (PBE, relaxed); mass density = 12.167 g/cm3; VASP energy = -8.426 eV per atom
1.0
2.0752 -0.9919 3.6012
1.3723 3.1020 2.5987
-1.8843 0.6039 3.7873
Be Re Si Ta
1 1 1 1
Direct
0.7500 0.7500 0.7500
0.2500 0.2500 0.2500
0.0000 0.0000 0.0000
0.5000 0.5000 0.5000